1.
BaMn2H | PBEsol | optimized geometry

a b c (Å): 4.932 4.932 4.932
angles (deg): 60.00 60.00 60.00
Fractional positions:
H  0.000  0.000  0.000
Mn  0.250  0.250  0.250
Mn  0.750  0.750  0.750
Ba  0.500  0.500  0.500

DOS at the Fermi energy in states/eV/cell: 3.17
DFT total energy in eV per atom: -4.745
Space group: Fm-3m (225)

=====

2.
Ba2MnHW | PBEsol | optimized geometry

a b c (Å): 3.164 6.061 6.061
angles (deg): 90.00 90.00 90.00
Fractional positions:
H  0.500  0.000  0.000
Mn  0.000  0.000  0.000
Ba  0.000  0.000  0.500
Ba  0.000  0.500  0.000
W  0.500  0.500  0.500

DOS at the Fermi energy in states/eV/cell: 5.21
DFT total energy in eV per atom: -4.933
Space group: P4/mmm (123)

=====

3.
BaMoH3 | PBEsol | optimized geometry

a b c (Å): 4.727 4.727 4.727
angles (deg): 90.00 90.00 90.00
Fractional positions:
H  0.000  0.500  0.000
H  0.000  0.000  0.500
H  0.500  0.000  0.000
Mo  0.500  0.500  0.500
Ba  0.000  0.000  0.000

DOS at the Fermi energy in states/eV/cell: 0.79
DFT total energy in eV per atom: -3.442
Space group: Pm-3m (221)

=====

4.
BaMo3H | PBEsol | optimized geometry

a b c (Å): 4.263 4.263 4.263
angles (deg): 90.00 90.00 90.00
Fractional positions:
H  0.000  0.000  0.000
Mo  0.000  0.500  0.000
Mo  0.000  0.000  0.500
Mo  0.500  0.000  0.000
Ba  0.500  0.500  0.500

DOS at the Fermi energy in states/eV/cell: 8.89
DFT total energy in eV per atom: -6.801
Space group: Pm-3m (221)

=====

5.
BaP6H16N4O18 | PBEsol | optimized geometry

a b c (Å): 8.981 11.140 11.140
angles (deg): 120.00 90.00 90.00
Fractional positions:
Ba  0.745  0.333  0.667
Ba  0.245  0.667  0.333
H  0.372  0.333  0.667
H  0.872  0.667  0.333
H  0.218  0.414  0.761
H  0.218  0.347  0.586
H  0.218  0.239  0.653
H  0.718  0.653  0.239
H  0.718  0.761  0.414
H  0.718  0.586  0.347
H  0.565  0.942  0.159
H  0.565  0.216  0.058
H  0.565  0.841  0.784
H  0.065  0.784  0.841
H  0.065  0.159  0.942
H  0.065  0.058  0.216
H  0.463  0.953  0.293
H  0.463  0.340  0.047
H  0.463  0.707  0.660
H  0.963  0.660  0.707
H  0.963  0.293  0.953
H  0.963  0.047  0.340
H  0.563  0.090  0.310
H  0.563  0.220  0.910
H  0.563  0.690  0.780
H  0.063  0.780  0.690
H  0.063  0.310  0.090
H  0.063  0.910  0.220
H  0.402  0.043  0.216
H  0.402  0.173  0.957
H  0.402  0.784  0.827
H  0.902  0.827  0.784
H  0.902  0.216  0.043
H  0.902  0.957  0.173
N  0.256  0.333  0.667
N  0.756  0.667  0.333
N  0.496  0.006  0.243
N  0.496  0.237  0.994
N  0.496  0.757  0.763
N  0.996  0.763  0.757
N  0.996  0.243  0.006
N  0.996  0.994  0.237
O  0.450  0.533  0.121
O  0.450  0.587  0.467
O  0.450  0.879  0.413
O  0.950  0.413  0.879
O  0.950  0.121  0.533
O  0.950  0.467  0.587
O  0.526  0.420  0.863
O  0.526  0.443  0.580
O  0.526  0.137  0.557
O  0.026  0.557  0.137
O  0.026  0.863  0.420
O  0.026  0.580  0.443
O  0.671  0.626  0.059
O  0.671  0.432  0.374
O  0.671  0.941  0.568
O  0.171  0.568  0.941
O  0.171  0.059  0.626
O  0.171  0.374  0.432
O  0.733  0.858  0.073
O  0.733  0.215  0.142
O  0.733  0.927  0.785
O  0.233  0.785  0.927
O  0.233  0.073  0.858
O  0.233  0.142  0.215
O  0.724  0.628  0.835
O  0.724  0.206  0.372
O  0.724  0.165  0.794
O  0.224  0.794  0.165
O  0.224  0.835  0.628
O  0.224  0.372  0.206
O  0.927  0.680  0.015
O  0.927  0.335  0.320
O  0.927  0.985  0.665
O  0.427  0.665  0.985
O  0.427  0.015  0.680
O  0.427  0.320  0.335
P  0.512  0.546  0.003
P  0.512  0.456  0.454
P  0.512  0.997  0.544
P  0.012  0.544  0.997
P  0.012  0.003  0.546
P  0.012  0.454  0.456
P  0.757  0.705  0.986
P  0.757  0.282  0.295
P  0.757  0.014  0.718
P  0.257  0.718  0.014
P  0.257  0.986  0.705
P  0.257  0.295  0.282

DOS at the Fermi energy in states/eV/cell: 0.00
DFT total energy in eV per atom: -6.383
Space group: P31c (159)

=====

6.
BaTe2HN | PBEsol | optimized geometry

a b c (Å): 4.343 4.343 6.001
angles (deg): 90.00 90.00 90.00
Fractional positions:
H  0.000  0.000  0.000
Te  0.000  0.500  0.000
Te  0.500  0.000  0.000
Ba  0.500  0.500  0.500
N  0.000  0.000  0.500

DOS at the Fermi energy in states/eV/cell: 1.97
DFT total energy in eV per atom: -3.876
Space group: P4/mmm (123)

=====

7.
Ba2NaH2 | PBEsol | optimized geometry

a b c (Å): 4.431 4.431 8.487
angles (deg): 105.13 105.13 90.00
Fractional positions:
Na  0.000  0.000  0.000
Ba  0.336  0.336  0.672
Ba  0.664  0.664  0.328
H  0.250  0.750  0.500
H  0.750  0.250  0.500

Energy relative to the lowest polymorph listed for this composition in eV/atom: 0.000
DOS at the Fermi energy in states/eV/cell: 2.74
DFT total energy in eV per atom: -2.775
Space group: I4/mmm (139)

=====

8.
Ba3NaH | PBEsol | optimized geometry

a b c (Å): 5.875 5.875 5.875
angles (deg): 90.00 90.00 90.00
Fractional positions:
Na  0.500  0.500  0.500
Ba  0.000  0.500  0.000
Ba  0.000  0.000  0.500
Ba  0.500  0.000  0.000
H  0.000  0.000  0.000

DOS at the Fermi energy in states/eV/cell: 4.37
DFT total energy in eV per atom: -2.331
Space group: Pm-3m (221)

=====

9.
Ba2NaH2 | PBEsol | optimized geometry

a b c (Å): 3.886 7.966 7.966
angles (deg): 90.00 90.00 90.00
Fractional positions:
Na  0.000  0.000  0.000
Na  0.000  0.500  0.500
Ba  0.500  0.166  0.666
Ba  0.500  0.666  0.834
Ba  0.500  0.834  0.334
Ba  0.500  0.334  0.166
H  0.000  0.366  0.866
H  0.000  0.866  0.634
H  0.000  0.634  0.134
H  0.000  0.134  0.366

Energy relative to the lowest polymorph listed for this composition in eV/atom: 0.238
DOS at the Fermi energy in states/eV/cell: 6.97
DFT total energy in eV per atom: -2.537
Space group: P4/mbm (127)

=====

10.
Ba2NaH | PBEsol | optimized geometry

a b c (Å): 7.371 7.371 7.371
angles (deg): 104.91 111.80 111.80
Fractional positions:
Na  0.000  0.000  0.000
Na  0.500  0.750  0.250
Ba  0.879  0.504  0.125
Ba  0.121  0.246  0.625
Ba  0.621  0.375  0.496
Ba  0.379  0.875  0.754
H  0.000  0.500  0.500
H  0.500  0.250  0.750

DOS at the Fermi energy in states/eV/cell: 6.70
DFT total energy in eV per atom: -2.360
Space group: I-42d (122)

=====

11.
BaNaP3H6O12 | PBEsol | optimized geometry

a b c (Å): 7.038 8.936 10.001
angles (deg): 63.45 83.29 77.65
Fractional positions:
Na  0.802  0.634  0.874
Na  0.198  0.366  0.126
P  0.160  0.702  0.585
P  0.840  0.298  0.415
P  0.232  0.774  0.828
P  0.768  0.226  0.172
P  0.455  0.478  0.798
P  0.545  0.522  0.202
Ba  0.037  0.246  0.797
Ba  0.963  0.754  0.203
O  0.169  0.828  0.659
O  0.831  0.172  0.341
O  0.003  0.600  0.666
O  0.997  0.400  0.334
O  0.844  0.199  0.580
O  0.156  0.801  0.420
O  0.431  0.636  0.842
O  0.569  0.364  0.158
O  0.085  0.687  0.941
O  0.915  0.313  0.059
O  0.292  0.927  0.825
O  0.708  0.073  0.175
O  0.374  0.580  0.627
O  0.626  0.420  0.373
O  0.324  0.357  0.893
O  0.676  0.643  0.107
O  0.669  0.421  0.787
O  0.331  0.579  0.213
O  0.672  0.931  0.753
O  0.328  0.069  0.247
O  0.803  0.007  0.942
O  0.197  0.993  0.058
O  0.261  0.321  0.544
O  0.739  0.679  0.456
H  0.526  0.952  0.756
H  0.474  0.048  0.244
H  0.719  0.031  0.670
H  0.281  0.969  0.330
H  0.734  0.975  0.877
H  0.266  0.025  0.123
H  0.292  0.941  0.004
H  0.708  0.059  0.996
H  0.182  0.349  0.456
H  0.818  0.651  0.544
H  0.382  0.363  0.502
H  0.618  0.637  0.498

DOS at the Fermi energy in states/eV/cell: 0.00
DFT total energy in eV per atom: -6.394
Space group: P-1 (2)

=====

12.
BaNaH3Pd | PBEsol | optimized geometry

a b c (Å): 5.979 5.979 6.034
angles (deg): 90.00 90.00 120.00
Fractional positions:
Na  0.000  0.000  0.500
Na  0.000  0.000  0.000
Ba  0.667  0.333  0.250
Ba  0.333  0.667  0.750
Pd  0.333  0.667  0.250
Pd  0.667  0.333  0.750
H  0.664  0.832  0.250
H  0.168  0.832  0.250
H  0.168  0.336  0.250
H  0.832  0.664  0.750
H  0.832  0.168  0.750
H  0.336  0.168  0.750

DOS at the Fermi energy in states/eV/cell: 0.00
DFT total energy in eV per atom: -3.658
Space group: P6_3/mmc (194)

=====

13.
BaNaH2Rh | PBEsol | optimized geometry

a b c (Å): 4.173 4.173 4.810
angles (deg): 90.00 90.00 90.00
Fractional positions:
Na  0.000  0.000  0.500
Rh  0.000  0.000  0.000
Ba  0.500  0.500  0.500
H  0.000  0.500  0.000
H  0.500  0.000  0.000

DOS at the Fermi energy in states/eV/cell: 2.63
DFT total energy in eV per atom: -3.308
Space group: P4/mmm (123)

=====

14.
BaNb2H | PBEsol | optimized geometry

a b c (Å): 6.088 6.088 6.088
angles (deg): 60.00 60.00 60.00
Fractional positions:
H  0.250  0.250  0.250
H  0.000  0.000  0.000
Nb  0.125  0.125  0.625
Nb  0.125  0.125  0.125
Nb  0.625  0.125  0.125
Nb  0.125  0.625  0.125
Ba  0.750  0.750  0.750
Ba  0.500  0.500  0.500

DOS at the Fermi energy in states/eV/cell: 8.68
DFT total energy in eV per atom: -6.293
Space group: Fd-3m (227)

=====

15.
Ba2NbH | PBEsol | optimized geometry

a b c (Å): 5.600 5.600 5.600
angles (deg): 60.00 60.00 60.00
Fractional positions:
H  0.000  0.000  0.000
Nb  0.500  0.500  0.500
Ba  0.250  0.250  0.250
Ba  0.750  0.750  0.750

DOS at the Fermi energy in states/eV/cell: 3.68
DFT total energy in eV per atom: -3.568
Space group: Fm-3m (225)

=====

16.
Ba2NiH | PBEsol | optimized geometry

a b c (Å): 5.136 5.136 5.136
angles (deg): 60.00 60.00 60.00
Fractional positions:
Ni  0.500  0.500  0.500
Ba  0.250  0.250  0.250
Ba  0.750  0.750  0.750
H  0.000  0.000  0.000

DOS at the Fermi energy in states/eV/cell: 1.86
DFT total energy in eV per atom: -3.349
Space group: Fm-3m (225)

=====

17.
BaNiH3 | PBEsol | optimized geometry

a b c (Å): 3.797 3.797 3.797
angles (deg): 90.00 90.00 90.00
Fractional positions:
Ni  0.000  0.000  0.000
Ba  0.500  0.500  0.500
H  0.000  0.500  0.000
H  0.000  0.000  0.500
H  0.500  0.000  0.000

DOS at the Fermi energy in states/eV/cell: 1.98
DFT total energy in eV per atom: -3.982
Space group: Pm-3m (221)

=====

18.
BaTc2NiH | PBEsol | optimized geometry

a b c (Å): 4.365 4.365 6.324
angles (deg): 90.00 90.00 90.00
Fractional positions:
Ni  0.000  0.000  0.000
Ba  0.000  0.000  0.500
H  0.500  0.500  0.500
Tc  0.000  0.500  0.000
Tc  0.500  0.000  0.000

DOS at the Fermi energy in states/eV/cell: 5.97
DFT total energy in eV per atom: -5.296
Space group: P4/mmm (123)

=====

19.
BaNiHW2 | PBEsol | optimized geometry

a b c (Å): 4.683 5.031 5.031
angles (deg): 90.00 90.00 90.00
Fractional positions:
Ni  0.500  0.000  0.000
Ba  0.000  0.000  0.000
W  0.000  0.000  0.500
W  0.000  0.500  0.000
H  0.500  0.500  0.500

DOS at the Fermi energy in states/eV/cell: 7.12
DFT total energy in eV per atom: -3.822
Space group: P4/mmm (123)